[1]
A relaxed DyPaOsPd crystal, computed with PBE-GGA.

a b c (Å): 6.9358 6.9358 6.9358
angles (deg): 90.00 90.00 90.00
Closest atoms and distances in Å follow each position.
Space group F-43m (No. 216)
Symmetry-distinct sites (fractional):
Dy1 0.0000 0.0000 0.0000 x4  4 Os 3.00, 4 Pd 3.00
Pa1 0.0000 0.0000 0.5000 x4  4 Pd 3.00, 4 Os 3.00
Os1 0.2500 0.2500 0.2500 x4  4 Dy 3.00, 4 Pa 3.00
Pd1 0.2500 0.2500 0.7500 x4  4 Dy 3.00, 4 Pa 3.00

Values from the calculation:
Total energy: -128.6 eV per cell
Formation energy: -406 meV/atom

[2]
A relaxed DyPaOsRh crystal, computed with PBE-GGA.

a b c (Å): 6.8735 6.8735 6.8735
angles (deg): 90.00 90.00 90.00
Closest atoms and distances in Å follow each position.
Space group F-43m (No. 216)
Symmetry-distinct sites (fractional):
Dy1 0.0000 0.0000 0.0000 x4  4 Os 2.98, 4 Rh 2.98
Pa1 0.0000 0.0000 0.5000 x4  4 Rh 2.98, 4 Os 2.98
Os1 0.2500 0.2500 0.7500 x4  4 Dy 2.98, 4 Pa 2.98
Rh1 0.2500 0.2500 0.2500 x4  4 Dy 2.98, 4 Pa 2.98

Values from the calculation:
Total energy: -138.2 eV per cell
Formation energy: -469 meV/atom

[3]
A relaxed DyPaTcOs crystal, computed with PBE-GGA.

a b c (Å): 6.8689 6.8689 6.8689
angles (deg): 90.00 90.00 90.00
Closest atoms and distances in Å follow each position.
Space group F-43m (No. 216)
Symmetry-distinct sites (fractional):
Dy1 0.0000 0.0000 0.0000 x4  4 Tc 2.97, 4 Os 2.97
Pa1 0.0000 0.0000 0.5000 x4  4 Tc 2.97, 4 Os 2.97
Tc1 0.2500 0.2500 0.7500 x4  4 Dy 2.97, 4 Pa 2.97
Os1 0.2500 0.2500 0.2500 x4  4 Dy 2.97, 4 Pa 2.97

Values from the calculation:
Total energy: -146.0 eV per cell
Formation energy: -202 meV/atom